Computed, not measured: crystalline Sm4YEr3 at its relaxed geometry at the PBE-GGA level of DFT.

Summary:
symmetry: C2/m (12)
energy relative to the elements: 205 meV per atom
final energy: -4.674 eV/atom

```
8
Lattice="12.938 -2.830 0.000 12.938 2.830 0.000 -0.003 0.000 3.621" Properties=species:S:1:pos:R:3 pbc="T T T"
Sm 2.675 0.000 3.621
Sm 5.776 0.000 3.621
Sm 20.097 0.000 0.000
Sm 23.198 0.000 0.000
Y -0.002 0.000 1.811
Er 9.014 0.000 1.811
Er 12.938 0.000 0.000
Er 16.859 0.000 1.810
```

***

Computed, not measured: crystalline LiSi2P2 at its relaxed geometry at the PBE-GGA level of DFT.

Summary:
symmetry: P4/mbm (127)
uncorrected formation energy: 0.601 eV/f.u.
final energy: -4.596 eV/atom

```
10
Lattice="6.677 0.000 0.000 0.000 6.677 0.000 0.000 0.000 3.345" Properties=species:S:1:pos:R:3 pbc="T T T"
Li 0.000 0.000 0.000
Li 3.338 3.338 0.000
Si 0.957 2.382 1.673
Si 2.382 5.720 1.673
Si 4.295 0.957 1.673
Si 5.720 4.295 1.673
P 1.096 4.435 0.000
P 2.242 1.096 0.000
P 4.435 5.581 0.000
P 5.581 2.242 0.000
```

***

Computed, not measured: crystalline PuZnCuO6 at its relaxed geometry at the PBE-GGA level of DFT.

Summary:
symmetry: P-31c (163)
uncorrected formation energy: -12.893 eV/f.u.
final energy: -6.927 eV/atom

```
18
Lattice="5.148 0.000 0.000 -2.574 4.458 0.000 0.000 0.000 9.264" Properties=species:S:1:pos:R:3 pbc="T T T"
Pu 0.000 2.972 2.316
Pu 2.574 1.486 6.948
Zn 0.000 0.000 0.000
Zn 0.000 0.000 4.632
Cu 0.000 2.972 6.948
Cu 2.574 1.486 2.316
O -0.871 1.527 1.211
O -1.687 2.940 3.421
O 0.871 1.527 3.421
O -0.816 4.449 1.211
O 1.758 0.009 5.843
O 0.887 1.518 8.053
O 1.687 2.940 1.211
O 0.816 4.449 3.421
O 3.390 0.009 8.053
O 1.702 2.931 5.843
O 4.261 1.518 5.843
O 3.445 2.931 8.053
```

***

Computed, not measured: crystalline KCa2B at its relaxed geometry at the PBE-GGA level of DFT.

Summary:
symmetry: I-42d (122)
energy relative to the elements: 578 meV per atom
final energy: -2.366 eV/atom

```
8
Lattice="-4.065 4.065 5.742 4.065 -4.065 5.742 4.065 4.065 -5.742" Properties=species:S:1:pos:R:3 pbc="T T T"
K 0.000 0.000 0.000
K 0.000 4.065 2.871
Ca 2.032 -0.016 4.307
Ca 4.049 2.032 1.436
Ca 2.032 4.081 -1.436
Ca 0.016 2.032 7.178
B 4.065 0.000 2.871
B 0.000 0.000 5.742
```

***

Computed, not measured: crystalline YVFeP2 at its relaxed geometry at the PBE-GGA level of DFT.

Summary:
symmetry: I-4m2 (119)
energy relative to the elements: -908 meV per atom
final energy: -7.881 eV/atom

```
5
Lattice="-1.944 1.944 5.020 1.944 -1.944 5.020 1.944 1.944 -5.020" Properties=species:S:1:pos:R:3 pbc="T T T"
Y 0.000 0.000 0.000
V 1.944 0.000 2.510
Fe 0.000 1.944 2.510
P 0.000 0.000 3.757
P 0.000 0.000 6.283
```

***

Computed, not measured: crystalline Pm2BeAgPd6 at its relaxed geometry at the PBE-GGA level of DFT.

Summary:
symmetry: Fm-3m (225)
energy relative to the elements: -344 meV per atom
final energy: -5.067 eV/atom

```
10
Lattice="0.000 4.635 4.635 4.635 0.000 4.635 4.635 4.635 0.000" Properties=species:S:1:pos:R:3 pbc="T T T"
Pm 2.317 2.317 2.317
Pm 6.952 6.952 6.952
Be 0.000 0.000 0.000
Ag 4.635 4.635 4.635
Pd 4.635 4.635 2.096
Pd 4.635 2.096 4.635
Pd 7.174 4.635 4.635
Pd 2.096 4.635 4.635
Pd 4.635 7.174 4.635
Pd 4.635 4.635 7.174
```

***

Computed, not measured: crystalline TeRuI2F at its relaxed geometry at the PBE-GGA level of DFT.

Summary:
symmetry: P4/mmm (123)
uncorrected formation energy: 3.370 eV/f.u.
final energy: -2.804 eV/atom

```
5
Lattice="5.834 0.000 0.000 0.000 5.834 0.000 0.000 0.000 4.203" Properties=species:S:1:pos:R:3 pbc="T T T"
Te 0.000 0.000 0.000
Ru 2.917 2.917 0.000
I 0.000 2.917 2.102
I 2.917 0.000 2.102
F 0.000 0.000 2.102
```

***

Computed, not measured: crystalline CoAgBr2 at its relaxed geometry at the PBE-GGA level of DFT.

Summary:
symmetry: I-42d (122)
uncorrected formation energy: 0.151 eV/f.u.
final energy: -3.288 eV/atom

```
8
Lattice="-3.063 3.063 5.640 3.063 -3.063 5.640 3.063 3.063 -5.640" Properties=species:S:1:pos:R:3 pbc="T T T"
Co 0.000 0.000 0.000
Co 0.000 3.063 2.820
Ag 3.063 0.000 2.820
Ag 0.000 0.000 5.640
Br 4.594 1.258 -1.410
Br 1.258 1.531 1.410
Br -1.531 1.805 4.230
Br 1.805 1.531 7.051
```